A relaxed Tm3Tl4CdTe8 crystal, computed with GGA-PBE.

Cell lengths 8.8591, 8.8591, 23.8767 Å; angles 90.00, 90.00, 120.00 degrees
Space group R-3m (No. 166, hexagonal axes)
Inequivalent atoms, fractional coordinates:
Tm  0.0000  0.5000  0.0000
Tl  0.0000  0.0000  0.5000
Tl  0.0000  0.5000  0.5000
Cd  0.0000  0.0000  0.0000
Te  0.0000  0.0000  0.2620
Te  0.0021  0.5010  0.2622

=====

A relaxed UTl2CdTe4 crystal, computed with GGA-PBE.

Cell lengths 7.7093, 4.4175, 8.5961 Å; angles 90.00, 108.58, 90.00 degrees
Space group P2/m (No. 10)
Inequivalent atoms, fractional coordinates:
U  0.0000  0.0000  0.0000
Tl  0.0000  0.5000  0.5000
Tl  0.5000  0.0000  0.5000
Cd  0.5000  0.5000  0.0000
Te  0.2266  0.5000  0.2198
Te  0.2647  0.0000  0.7968

=====

A relaxed U3Tl3CdTe8 crystal, computed with GGA-PBE.

Cell lengths 15.1792, 8.7575, 9.7386 Å; angles 90.00, 121.35, 90.00 degrees
Space group C2/m (No. 12)
Inequivalent atoms, fractional coordinates:
U  0.0000  0.0000  0.0000
U  0.2500  0.2500  0.0000
Tl  0.0000  0.5000  0.5000
Tl  0.2500  0.2500  0.5000
Cd  0.0000  0.5000  0.0000
Te  0.0135  0.2468  0.7875
Te  0.2388  0.0000  0.2163
Te  0.2403  0.5000  0.2129

=====

Results for formation energy (no corrections): -0.82 -0.44 -0.49 (in eV/atom, following the order of the records).